Computed, not measured: an optimized crystal structure of TlRe2SnO8 at the PBE level of DFT.

As for the magnetization: 2.0 μB/cell. The value obtained for the volume is 20.6 Å³ per atom. The uncorrected formation energy is -16.74 eV/f.u.

It has space group C2/m (No. 12), with a = 12.016 Å, b = 7.232 Å, c = 5.846 Å, α = 90.00°, β = 103.10° and γ = 90.00°. The inequivalent atoms are Tl at (0.000, 0.000, 0.000), Re at (0.187, 0.500, 0.164), Sn at (0.000, 0.500, 0.500), O at (0.113, 0.320, 0.285), O at (0.152, 0.500, 0.852) and O at (0.165, 0.000, 0.719).